Entry from Alexandria via LeMat-Bulk: a geometry-optimized Ba2CrP structure (PBE).

- D(E_F): 4.2 states/eV/cell
- DFT formation energy: 0.050 eV/atom
- E_tot: -4.6701 eV/atom

Unit cell a=3.6205 b=3.6205 c=9.5277 alpha=90.00 beta=90.00 gamma=90.00
With the nearest neighbours (Å) after each atom.
Space group P4mm (No. 99)
Inequivalent atoms, fractional coordinates:
Ba  0.0000  0.0000  0.0000 x1  1 Cr 2.98
Ba  0.5000  0.5000  0.4130 x1  1 P 3.21
Cr  0.0000  0.0000  0.6876 x1  4 P 2.63
P  0.5000  0.5000  0.7503 x1  4 Cr 2.63